--- i ---
The following is a DFT calculation (GGA-PBE) of Sm4InRu after structural relaxation.

Summary:
density = 8.101 Mg/m³
space group = No. 216

Cell: 9.8225 9.8225 9.8225 Å, 60.00 60.00 60.00°
Positions (direct):
Sm: 0.1902 0.1902 0.8098
Sm: 0.1902 0.8098 0.1902
Sm: 0.1902 0.8098 0.8098
Sm: 0.4029 0.4029 0.4029
Sm: 0.4029 0.4029 0.7912
Sm: 0.4029 0.7912 0.4029
Sm: 0.5576 0.5576 0.9424
Sm: 0.5576 0.9424 0.5576
Sm: 0.5576 0.9424 0.9424
Sm: 0.7912 0.4029 0.4029
Sm: 0.8098 0.1902 0.1902
Sm: 0.8098 0.1902 0.8098
Sm: 0.8098 0.8098 0.1902
Sm: 0.9424 0.5576 0.5576
Sm: 0.9424 0.5576 0.9424
Sm: 0.9424 0.9424 0.5576
In: 0.1687 0.1687 0.1687
In: 0.1687 0.1687 0.4939
In: 0.1687 0.4939 0.1687
In: 0.4939 0.1687 0.1687
Ru: 0.1635 0.6122 0.6122
Ru: 0.6122 0.1635 0.6122
Ru: 0.6122 0.6122 0.1635
Ru: 0.6122 0.6122 0.6122



--- ii ---
The following is a DFT calculation (GGA-PBE) of Sm4InRu after structural relaxation.

Summary:
density = 7.721 Mg/m³
space group = No. 15

Cell: 7.9565 7.9565 6.2840 Å, 99.63 99.63 112.14°
Positions (direct):
Sm: 0.0580 0.7231 0.9532
Sm: 0.2041 0.3623 0.6050
Sm: 0.2769 0.9420 0.5468
Sm: 0.3623 0.2041 0.1050
Sm: 0.6377 0.7959 0.8950
Sm: 0.7231 0.0580 0.4532
Sm: 0.7959 0.6377 0.3950
Sm: 0.9420 0.2769 0.0468
In: 0.3766 0.6234 0.2500
In: 0.6234 0.3766 0.7500
Ru: 0.9997 0.0003 0.2500
Ru: 0.0003 0.9997 0.7500



Relative energies, meV/atom: i 0; ii 45.